1.
Crystalline BaCd2Rh at its relaxed geometry, computed with PBE.

Unit cell a=5.2563 b=5.2563 c=5.2563 alpha=60.00 beta=60.00 gamma=60.00
Fractional positions:
Cd (0.7500, 0.7500, 0.7500)
Cd (0.2500, 0.2500, 0.2500)
Rh (0.0000, 0.0000, 0.0000)
Ba (0.5000, 0.5000, 0.5000)

Values from the calculation:
space group	No. 225
DFT total energy	-2.697	eV/atom
density of states at the Fermi level	0.750	states/eV/atom
formation enthalpy at 0 K	79	meV per atom



2.
Crystalline Ba4Cd2Rh at its relaxed geometry, computed with PBE.

Unit cell a=4.8587 b=7.1693 c=9.0852 alpha=102.42 beta=105.51 gamma=90.00
Fractional positions:
Cd (0.7631, 0.6267, 0.5261)
Ba (0.5730, 0.2634, 0.1460)
Ba (0.4270, 0.7366, 0.8540)
Rh (0.0000, 0.0000, 0.0000)
Cd (0.2369, 0.3733, 0.4739)
Ba (0.8530, 0.1672, 0.7059)
Ba (0.1470, 0.8328, 0.2941)

Values from the calculation:
space group	No. 12
DFT total energy	-2.631	eV/atom
density of states at the Fermi level	0.776	states/eV/atom
formation enthalpy at 0 K	-221	meV per atom



3.
Crystalline BaCd3Rh at its relaxed geometry, computed with PBE.

Unit cell a=4.7749 b=7.5803 c=7.5795 alpha=101.28 beta=90.00 gamma=90.00
Fractional positions:
Cd (0.6364, 0.8763, 0.7980)
Ba (0.6355, 0.8763, 0.2981)
Cd (0.1354, 0.5260, 0.1490)
Rh (0.1365, 0.7566, 0.9180)
Ba (0.6355, 0.3763, 0.7981)
Cd (0.1354, 0.2267, 0.4474)
Cd (0.1358, 0.6323, 0.5541)
Cd (0.1358, 0.1206, 0.0423)
Rh (0.1365, 0.9963, 0.6784)
Cd (0.6354, 0.3761, 0.2979)

Values from the calculation:
space group	No. 35
DFT total energy	-2.639	eV/atom
density of states at the Fermi level	0.542	states/eV/atom
formation enthalpy at 0 K	-235	meV per atom



4.
Crystalline Ba2Cd3Rh2 at its relaxed geometry, computed with PBE.

Unit cell a=4.6180 b=6.1808 c=7.8613 alpha=115.22 beta=90.00 gamma=111.94
Fractional positions:
Cd (0.3472, 0.6944, 0.5658)
Ba (0.1348, 0.2695, 0.7740)
Rh (0.8718, 0.7436, 0.8079)
Rh (0.1282, 0.2564, 0.1921)
Cd (0.6528, 0.3056, 0.4342)
Cd (0.5000, 0.0000, 0.0000)
Ba (0.8652, 0.7305, 0.2260)

Values from the calculation:
space group	No. 12
DFT total energy	-3.321	eV/atom
density of states at the Fermi level	0.586	states/eV/atom
formation enthalpy at 0 K	-279	meV per atom



5.
Crystalline BaCd2Rh at its relaxed geometry, computed with PBE.

Unit cell a=5.6407 b=5.6407 c=3.5310 alpha=90.00 beta=90.00 gamma=117.03
Fractional positions:
Ba (0.5000, 0.5000, 0.5000)
Cd (0.5000, 0.0000, 0.0000)
Cd (0.0000, 0.5000, 0.0000)
Rh (0.0000, 0.0000, 0.5000)

Values from the calculation:
space group	No. 65
DFT total energy	-2.572	eV/atom
density of states at the Fermi level	0.620	states/eV/atom
formation enthalpy at 0 K	204	meV per atom



6.
Crystalline BaCd3Rh at its relaxed geometry, computed with PBE.

Unit cell a=17.5355 b=4.8069 c=4.8069 alpha=120.04 beta=123.28 gamma=56.72
Fractional positions:
Cd (0.9426, 0.4100, 0.5900)
Cd (0.4988, 0.6682, 0.3318)
Cd (0.5012, 0.3318, 0.6682)
Rh (0.8539, 0.8618, 0.1382)
Cd (0.8574, 0.1904, 0.8096)
Rh (0.1461, 0.1382, 0.8618)
Cd (0.0574, 0.5900, 0.4100)
Cd (0.1426, 0.8096, 0.1904)
Ba (0.6865, 0.7515, 0.2485)
Ba (0.3135, 0.2485, 0.7515)

Values from the calculation:
space group	No. 166
DFT total energy	-2.603	eV/atom
density of states at the Fermi level	0.722	states/eV/atom
formation enthalpy at 0 K	-200	meV per atom



7.
Crystalline BaCd3Rh at its relaxed geometry, computed with PBE.

Unit cell a=9.4226 b=9.4226 c=5.7220 alpha=90.00 beta=90.00 gamma=146.97
Fractional positions:
Cd (0.0000, 0.0000, 0.0000)
Cd (0.8553, 0.6238, 0.7500)
Cd (0.6238, 0.8553, 0.2500)
Rh (0.5307, 0.4693, 0.2500)
Cd (0.1447, 0.3762, 0.2500)
Cd (0.3762, 0.1447, 0.7500)
Ba (0.1885, 0.8115, 0.2500)
Rh (0.4693, 0.5307, 0.7500)
Cd (0.0000, 0.0000, 0.5000)
Ba (0.8115, 0.1885, 0.7500)

Values from the calculation:
space group	No. 63
DFT total energy	-2.372	eV/atom
density of states at the Fermi level	0.653	states/eV/atom
formation enthalpy at 0 K	32	meV per atom



8.
Crystalline Ba4CdRh at its relaxed geometry, computed with PBE.

Unit cell a=6.9732 b=6.9732 c=6.9732 alpha=60.00 beta=60.00 gamma=60.00
Fractional positions:
Ba (0.3741, 0.3741, 0.8776)
Cd (0.7500, 0.7500, 0.7500)
Ba (0.8776, 0.3741, 0.3741)
Ba (0.3741, 0.3741, 0.3741)
Ba (0.3741, 0.8776, 0.3741)
Rh (0.0000, 0.0000, 0.0000)

Values from the calculation:
space group	No. 216
DFT total energy	-1.966	eV/atom
density of states at the Fermi level	1.178	states/eV/atom
formation enthalpy at 0 K	694	meV per atom



9.
Crystalline BaCd3Rh at its relaxed geometry, computed with PBE.

Unit cell a=23.8133 b=5.6633 c=9.9792 alpha=90.00 beta=157.43 gamma=90.00
Fractional positions:
Rh (0.3742, 0.3620, 0.8206)
Rh (0.8742, 0.1380, 0.3206)
Cd (0.0970, 0.8334, 0.8894)
Cd (0.8041, 0.8613, 0.3888)
Cd (0.1575, 0.3586, 0.8374)
Ba (0.0663, 0.3285, 0.0002)
Cd (0.4030, 0.3334, 0.6106)
Cd (0.8425, 0.6414, 0.1626)
Cd (0.1959, 0.1387, 0.6112)
Cd (0.6959, 0.3613, 0.1112)
Cd (0.3425, 0.8586, 0.6626)
Cd (0.5970, 0.6666, 0.3894)
Rh (0.6258, 0.6380, 0.1794)
Ba (0.4337, 0.8285, 0.4998)
Ba (0.9337, 0.6715, 0.9998)
Cd (0.3041, 0.6387, 0.8888)
Cd (0.9030, 0.1666, 0.1106)
Cd (0.6575, 0.1414, 0.3374)
Rh (0.1258, 0.8620, 0.6794)
Ba (0.5663, 0.1715, 0.5002)

Values from the calculation:
space group	No. 14
DFT total energy	-2.614	eV/atom
density of states at the Fermi level	0.408	states/eV/atom
formation enthalpy at 0 K	-210	meV per atom



10.
Crystalline BaCd3Rh at its relaxed geometry, computed with PBE.

Unit cell a=4.5922 b=8.2505 c=7.4511 alpha=92.15 beta=89.95 gamma=106.02
Fractional positions:
Cd (0.7252, 0.5059, 0.1975)
Cd (0.0109, 0.0814, 0.9810)
Cd (0.1087, 0.2724, 0.3188)
Cd (0.5841, 0.2237, 0.5540)
Cd (0.8116, 0.6780, 0.5539)
Rh (0.9890, 0.0328, 0.6118)
Ba (0.2052, 0.4655, 0.8286)
Cd (0.4209, 0.8970, 0.7632)
Ba (0.4044, 0.8658, 0.2518)
Rh (0.8430, 0.7411, 0.9206)

Values from the calculation:
space group	No. 1
DFT total energy	-2.609	eV/atom
density of states at the Fermi level	0.533	states/eV/atom
formation enthalpy at 0 K	-205	meV per atom



11.
Crystalline BaCd3Rh at its relaxed geometry, computed with PBE.

Unit cell a=7.0803 b=7.7605 c=7.4036 alpha=121.61 beta=118.57 gamma=90.00
Fractional positions:
Cd (0.2829, 0.7829, 0.0659)
Cd (0.7171, 0.2171, 0.9341)
Cd (0.2171, 0.2171, 0.9341)
Cd (0.2500, 0.8054, 0.5000)
Rh (0.5000, 0.0000, 0.0000)
Cd (0.7829, 0.7829, 0.0659)
Ba (0.2500, 0.3239, 0.5000)
Ba (0.7500, 0.6761, 0.5000)
Rh (0.0000, 0.5000, 0.0000)
Cd (0.7500, 0.1946, 0.5000)

Values from the calculation:
space group	No. 74
DFT total energy	-2.661	eV/atom
density of states at the Fermi level	0.524	states/eV/atom
formation enthalpy at 0 K	-257	meV per atom



12.
Crystalline BaCd3Rh at its relaxed geometry, computed with PBE.

Unit cell a=10.9264 b=10.9264 c=5.3445 alpha=90.00 beta=90.00 gamma=150.63
Fractional positions:
Cd (0.5292, 0.9655, 0.7500)
Cd (0.0000, 0.0000, 0.0000)
Rh (0.1084, 0.8916, 0.2500)
Rh (0.8916, 0.1084, 0.7500)
Cd (0.0345, 0.4708, 0.7500)
Cd (0.4708, 0.0345, 0.2500)
Cd (0.0000, 0.0000, 0.5000)
Ba (0.3915, 0.6085, 0.2500)
Cd (0.9655, 0.5292, 0.2500)
Ba (0.6085, 0.3915, 0.7500)

Values from the calculation:
space group	No. 63
DFT total energy	-2.380	eV/atom
density of states at the Fermi level	0.664	states/eV/atom
formation enthalpy at 0 K	24	meV per atom